# Pr4ThAs6

A relaxed Pr4ThAs6 crystal (GGA-PBE, Alexandria).

Spin magnetization ... 0.0 μB/f.u.
DFT formation energy ... -1.223 eV/atom

Structure (extended XYZ):
```
22
Lattice="4.341 0.000 0.000 -2.171 7.315 0.000 0.000 0.000 19.680" Properties=species:S:1:pos:R:3 pbc="T T T"
Pr 0.000 5.918 7.193
Pr 2.171 5.278 10.723
Pr 0.000 2.038 0.884
Pr 2.171 1.397 12.486
Pr 2.171 1.397 17.033
Pr 0.000 2.038 8.956
Pr 0.000 5.918 2.646
Pr 2.171 5.278 18.796
As 2.171 6.700 16.014
As 2.171 3.029 14.760
As 0.000 3.397 11.660
As 0.000 0.615 3.666
As 0.000 3.397 17.859
As 2.171 3.919 8.019
As 2.171 0.000 0.000
As 0.000 0.615 6.174
As 2.171 0.000 9.840
As 2.171 6.700 13.505
As 0.000 4.286 4.920
As 2.171 3.919 1.820
Th 0.000 4.838 14.760
Th 2.171 2.477 4.920
```

# Pr3ThAs4

A relaxed Pr3ThAs4 crystal (GGA-PBE, Alexandria).

Spin magnetization ... 0.0 μB/f.u.
DFT formation energy ... -1.504 eV/atom
Energy above the lowest structure with this stoichiometry ... 0.000 kcal/mol of atoms

Structure (extended XYZ):
```
8
Lattice="4.295 0.000 0.000 0.000 7.432 -0.068 0.000 -2.408 7.032" Properties=species:S:1:pos:R:3 pbc="T T T"
Pr 0.000 -1.204 3.516
Pr 2.148 2.512 3.482
Pr 0.000 3.716 -0.034
As 2.148 0.025 5.277
As 0.000 1.234 1.711
As 0.000 3.790 5.253
As 2.148 5.000 1.687
Th 2.148 0.000 0.000
```

# PrTh5As6

A relaxed PrTh5As6 crystal (GGA-PBE, Alexandria).

Spin magnetization ... 0.0 μB/f.u.
DFT formation energy ... -1.420 eV/atom

Structure (extended XYZ):
```
12
Lattice="7.296 0.176 1.107 1.791 6.183 3.605 0.122 0.065 7.378" Properties=species:S:1:pos:R:3 pbc="T T T"
As 6.805 4.755 3.525
As 2.281 1.605 1.187
As 6.292 2.772 7.241
As 2.917 3.652 4.850
As 3.559 5.752 8.479
As 5.650 0.672 3.611
Th 1.275 4.164 7.324
Th 0.638 2.084 3.659
Th 4.543 3.180 2.356
Th 4.026 1.153 6.089
Th 5.183 5.271 6.001
Pr 0.000 0.000 0.000
```

# PrTh2As4

A relaxed PrTh2As4 crystal (GGA-PBE, Alexandria).

Spin magnetization ... 0.0 μB/f.u.
DFT formation energy ... -1.076 eV/atom

Structure (extended XYZ):
```
14
Lattice="4.305 0.000 0.000 -2.152 7.188 0.000 0.000 0.000 12.872" Properties=species:S:1:pos:R:3 pbc="T T T"
Pr 2.152 1.515 9.654
Pr 0.000 5.672 3.218
Th 2.152 5.264 7.239
Th 0.000 1.924 0.803
Th 0.000 1.924 5.632
Th 2.152 5.264 12.068
As 2.152 3.802 1.789
As 0.000 3.386 11.082
As 2.152 0.000 0.000
As 2.152 0.000 6.436
As 2.152 6.698 9.654
As 2.152 3.802 4.647
As 0.000 3.386 8.225
As 0.000 0.490 3.218
```

# PrThAs2

A relaxed PrThAs2 crystal (GGA-PBE, Alexandria).

Spin magnetization ... 0.0 μB/f.u.
DFT formation energy ... -1.470 eV/atom
Energy above the lowest structure with this stoichiometry ... 0.000 kcal/mol of atoms

Structure (extended XYZ):
```
4
Lattice="4.281 0.014 0.013 2.130 3.714 0.013 2.111 1.228 6.995" Properties=species:S:1:pos:R:3 pbc="T T T"
As 6.392 3.717 5.308
As 2.130 1.239 1.713
Pr 4.261 2.478 3.511
Th 0.000 0.000 0.000
```

# Pr2ThAs4

A relaxed Pr2ThAs4 crystal (GGA-PBE, Alexandria).

Spin magnetization ... 0.0 μB/f.u.
DFT formation energy ... -1.087 eV/atom

Structure (extended XYZ):
```
14
Lattice="4.356 0.000 0.000 -2.178 7.328 0.000 0.000 0.000 12.428" Properties=species:S:1:pos:R:3 pbc="T T T"
As 2.178 3.966 1.865
As 2.178 3.966 4.349
As 2.178 6.943 9.321
As 0.000 3.362 10.563
As 2.178 0.000 0.000
As 2.178 0.000 6.214
As 0.000 0.385 3.107
As 0.000 3.362 8.079
Pr 2.178 5.401 11.667
Pr 0.000 1.926 5.453
Pr 2.178 5.401 6.974
Pr 0.000 1.926 0.760
Th 2.178 1.445 9.321
Th 0.000 5.883 3.107
```

# PrThAs2

A relaxed PrThAs2 crystal (GGA-PBE, Alexandria).

Spin magnetization ... 0.0 μB/f.u.
DFT formation energy ... -1.436 eV/atom
Energy above the lowest structure with this stoichiometry ... 0.781 kcal/mol of atoms

Structure (extended XYZ):
```
8
Lattice="-1.294 3.854 -1.259 -1.217 -1.523 3.784 11.420 5.794 6.004" Properties=species:S:1:pos:R:3 pbc="T T T"
Th 5.710 2.897 3.002
Th 0.000 0.000 0.000
As 3.093 2.469 4.382
As 0.132 0.967 2.826
As 5.816 5.657 4.147
As 8.777 7.159 5.703
Pr 7.322 4.615 6.606
Pr 1.587 3.511 1.923
```

# PrThAs2

A relaxed PrThAs2 crystal (GGA-PBE, Alexandria).

Spin magnetization ... 0.0 μB/f.u.
DFT formation energy ... -1.331 eV/atom
Energy above the lowest structure with this stoichiometry ... 3.198 kcal/mol of atoms

Structure (extended XYZ):
```
4
Lattice="-0.274 -2.378 3.478 2.999 0.239 2.963 -2.827 4.616 5.497" Properties=species:S:1:pos:R:3 pbc="T T T"
As -1.922 3.324 4.685
As 0.013 0.564 2.949
Th -0.978 3.142 9.761
Pr -0.095 1.300 6.008
```

# PrTm2ThAs4

A relaxed PrTm2ThAs4 crystal (GGA-PBE, Alexandria).

Spin magnetization ... 0.0 μB/f.u.
DFT formation energy ... -1.485 eV/atom

Structure (extended XYZ):
```
8
Lattice="-0.722 3.353 2.392 -3.696 -4.094 4.623 4.494 -2.622 5.034" Properties=species:S:1:pos:R:3 pbc="T T T"
Tm 1.886 0.365 3.713
Tm 4.494 -2.622 5.034
As 0.516 -5.073 7.268
As 2.140 -1.268 6.080
As -2.065 -2.095 5.969
As -0.441 1.709 4.781
Pr 2.285 -2.993 8.542
Th 0.399 -3.358 4.829
```

# Pr2TmThAs4

A relaxed Pr2TmThAs4 crystal (GGA-PBE, Alexandria).

Spin magnetization ... 0.0 μB/f.u.
DFT formation energy ... -1.489 eV/atom

Structure (extended XYZ):
```
8
Lattice="4.241 0.000 0.000 0.000 7.355 -0.155 0.000 2.579 6.844" Properties=species:S:1:pos:R:3 pbc="T T T"
Pr 0.000 2.579 6.844
Pr 2.120 1.289 3.422
Tm 0.000 4.967 3.344
As 2.120 6.091 1.652
As 2.120 3.842 5.036
As 0.000 7.383 5.005
As 4.241 2.551 1.683
Th 2.120 3.678 -0.078
```

# Pr2TmTh3As6

A relaxed Pr2TmTh3As6 crystal (GGA-PBE, Alexandria).

Spin magnetization ... 0.0 μB/f.u.
DFT formation energy ... -1.453 eV/atom

Structure (extended XYZ):
```
12
Lattice="4.248 0.000 0.000 0.000 8.463 0.313 -2.124 -2.422 8.918" Properties=species:S:1:pos:R:3 pbc="T T T"
Pr 0.000 2.013 3.069
Pr 2.124 4.028 6.163
As 2.124 -0.367 8.962
As 0.000 6.408 0.269
As 0.000 1.880 6.101
As 2.124 4.161 3.130
As 0.000 6.171 6.295
As 2.124 -0.131 2.937
Th 0.000 6.246 3.253
Th 2.124 -0.205 5.979
Th 2.124 4.231 0.157
Tm 2.124 0.000 0.000
```

# Pr3Th2UAs6

A relaxed Pr3Th2UAs6 crystal (GGA-PBE, Alexandria).

Spin magnetization ... 2.6 μB/f.u.
DFT formation energy ... -1.344 eV/atom

Structure (extended XYZ):
```
12
Lattice="4.244 0.000 0.000 0.000 8.527 0.279 -2.122 -2.482 8.950" Properties=species:S:1:pos:R:3 pbc="T T T"
Th 0.000 2.005 3.048
Th 2.122 4.040 6.181
As 2.122 4.108 3.176
As 2.122 -0.096 2.929
As 0.000 6.491 0.212
As 2.122 -0.446 9.016
As 0.000 1.936 6.053
As 0.000 6.140 6.299
Pr 2.122 4.263 0.139
Pr 0.000 6.266 3.237
Pr 2.122 -0.222 5.992
U 2.122 0.000 0.000
```

# Pr2ThUAs4

A relaxed Pr2ThUAs4 crystal (GGA-PBE, Alexandria).

Spin magnetization ... 2.5 μB/f.u.
DFT formation energy ... -1.276 eV/atom

Structure (extended XYZ):
```
8
Lattice="5.996 0.003 0.000 -0.003 5.996 0.000 -2.996 -2.999 5.992" Properties=species:S:1:pos:R:3 pbc="T T T"
Th 2.996 2.999 0.000
Pr 0.000 0.000 0.000
Pr -0.001 2.998 2.996
As 2.996 2.999 2.971
As 2.998 0.002 0.099
As 2.998 0.002 5.894
As 0.000 0.000 3.021
U 2.998 0.002 2.996
```

# Pr4YTh3As8

A relaxed Pr4YTh3As8 crystal (GGA-PBE, Alexandria).

Spin magnetization ... 0.0 μB/f.u.
DFT formation energy ... -1.490 eV/atom

Structure (extended XYZ):
```
16
Lattice="-1.293 6.868 4.887 -4.852 -4.657 5.260 7.946 -2.513 -1.807" Properties=species:S:1:pos:R:3 pbc="T T T"
As 1.807 2.700 4.124
As -0.006 -3.002 4.217
As 2.437 -0.725 1.664
As -1.542 0.508 2.573
As -0.636 0.423 6.677
As 3.343 -0.810 5.768
As 3.994 -4.267 3.308
As -2.193 3.965 5.033
Pr 3.327 2.178 1.540
Pr 3.973 -1.256 -0.903
Pr -0.647 3.434 2.444
Pr 0.000 0.000 0.000
Th -3.073 1.105 5.074
Th 0.900 -0.151 4.170
Th 1.547 -3.585 1.727
Y -2.426 -2.329 2.630
```

# PrYTh2As4

A relaxed PrYTh2As4 crystal (GGA-PBE, Alexandria).

Spin magnetization ... 0.0 μB/f.u.
DFT formation energy ... -1.468 eV/atom

Structure (extended XYZ):
```
8
Lattice="-3.132 0.074 2.865 -4.881 -1.482 -5.297 2.482 -6.254 2.874" Properties=species:S:1:pos:R:3 pbc="T T T"
As 0.621 -5.084 0.810
As -3.344 -5.748 -0.361
As -2.187 -1.913 0.805
As -3.020 -2.651 -3.232
Y -4.006 -0.704 -1.216
Th -0.325 -3.090 2.870
Th -1.199 -3.868 -1.211
Pr 0.000 0.000 0.000
```

# PrY2ThAs4

A relaxed PrY2ThAs4 crystal (GGA-PBE, Alexandria).

Spin magnetization ... 0.0 μB/f.u.
DFT formation energy ... -1.519 eV/atom

Structure (extended XYZ):
```
8
Lattice="4.211 0.000 0.000 0.000 7.254 -0.136 0.000 2.560 6.825" Properties=species:S:1:pos:R:3 pbc="T T T"
Y 2.106 1.280 3.412
Y 0.000 2.560 6.825
Th 0.000 4.907 3.345
As 4.211 2.406 1.714
As 0.000 7.409 4.975
As 2.106 3.678 5.087
As 2.106 6.136 1.602
Pr 2.106 3.627 -0.068
```

# Pr2YTh3As6

A relaxed Pr2YTh3As6 crystal (GGA-PBE, Alexandria).

Spin magnetization ... 0.0 μB/f.u.
DFT formation energy ... -1.469 eV/atom

Structure (extended XYZ):
```
12
Lattice="-2.846 -0.539 -3.119 5.792 -4.210 -4.557 -2.678 -6.438 6.460" Properties=species:S:1:pos:R:3 pbc="T T T"
As 2.586 -8.378 -0.912
As -0.350 -6.232 1.395
As -4.091 -7.986 2.207
As -2.318 -2.809 -0.305
As 4.359 -3.200 -3.424
As 0.618 -4.955 -2.612
Pr 0.565 -3.632 0.112
Pr -0.297 -7.554 -1.329
Y -1.423 -0.269 -1.560
Th -3.189 -5.431 0.943
Th 1.473 -2.374 -3.838
Th 3.457 -5.756 -2.160
```

# Pr2ThZrAs4

A relaxed Pr2ThZrAs4 crystal (GGA-PBE, Alexandria).

Spin magnetization ... 0.0 μB/f.u.
DFT formation energy ... -1.354 eV/atom

Structure (extended XYZ):
```
8
Lattice="-0.262 3.982 -1.252 0.782 -2.107 -6.864 -7.073 0.071 1.709" Properties=species:S:1:pos:R:3 pbc="T T T"
Pr -3.146 -1.018 -2.577
Pr -3.668 2.027 0.228
Th 0.260 0.938 -4.058
Zr 0.000 0.000 0.000
As -1.088 -1.579 -4.795
As -5.203 -0.456 -0.360
As -4.977 0.429 -4.578
As -1.577 1.518 -1.829
```

# PrTi2As4

A relaxed PrTi2As4 crystal (GGA-PBE, Alexandria).

Spin magnetization ... 0.0 μB/f.u.
DFT formation energy ... -0.818 eV/atom

Structure (extended XYZ):
```
14
Lattice="-3.831 -0.166 -0.338 2.346 -5.748 -1.843 -0.863 -4.135 11.798" Properties=species:S:1:pos:R:3 pbc="T T T"
As -0.552 -6.494 9.442
As -1.916 -0.083 -0.169
As -2.347 -2.150 5.730
As -0.322 -5.391 6.294
As -2.026 -4.659 3.323
As -1.796 -3.555 0.174
As -0.151 -1.912 2.646
As -2.197 -8.138 6.970
Ti -2.410 -8.296 9.459
Ti -0.270 -3.344 4.696
Ti 0.062 -1.753 0.157
Ti -2.078 -6.705 4.920
Pr -2.466 -4.491 8.228
Pr 0.118 -5.559 1.388
```

# PrTlAs

A relaxed PrTlAs crystal (GGA-PBE, Alexandria).

Spin magnetization ... 0.0 μB/f.u.
DFT formation energy ... -0.494 eV/atom

Structure (extended XYZ):
```
6
Lattice="4.689 0.000 0.000 2.344 4.060 0.000 2.344 1.353 10.494" Properties=species:S:1:pos:R:3 pbc="T T T"
Pr 7.033 4.060 6.446
Pr 2.344 1.353 4.048
As 2.344 1.353 7.548
As 7.033 4.060 2.946
Tl 4.689 2.707 1.224
Tl 4.689 2.707 9.270
```

# Pr5TmAs6

A relaxed Pr5TmAs6 crystal (GGA-PBE, Alexandria).

Spin magnetization ... 0.0 μB/f.u.
DFT formation energy ... -1.489 eV/atom

Structure (extended XYZ):
```
12
Lattice="-5.509 4.317 -2.396 -3.544 -3.370 -5.551 -5.750 -4.428 1.429" Properties=species:S:1:pos:R:3 pbc="T T T"
As -8.480 -5.026 -4.722
As -6.836 0.706 -6.007
As -2.217 0.241 -1.940
As -6.322 1.544 -1.796
As -5.321 -2.384 -3.412
As -9.481 -1.097 -3.106
Pr -6.200 -5.201 -2.744
Pr -3.094 -2.596 -1.378
Pr -7.636 -2.134 -5.335
Pr -4.526 0.473 -3.973
Pr -7.166 -1.347 -1.183
Tm 0.000 0.000 0.000
```

# Pr2TmAs

A relaxed Pr2TmAs crystal (GGA-PBE, Alexandria).

Spin magnetization ... 0.0 μB/f.u.
DFT formation energy ... -0.340 eV/atom

Structure (extended XYZ):
```
4
Lattice="-0.261 -2.894 2.651 2.913 -2.621 0.343 5.512 4.228 8.077" Properties=species:S:1:pos:R:3 pbc="T T T"
Tm 0.000 0.000 0.000
Pr 4.167 -3.530 5.311
Pr 3.997 2.242 5.759
As 4.082 -0.644 5.535
```